1.
# ZnP2Br, PBEsol geometry, DFT SCAN
# theoretical density = 5.11 g/cm3
# excess energy over the best structure of this formula in the dataset = 177 meV per atom
# symmetry = No. 47
# V = 67.4 Å³ per cell
# DOS at the Fermi energy = 0.373 states/eV per atom
# total magnetic moment = 0.000 μB/cell
# total energy = -50.67 eV per formula unit
# raw formation energy = 74.7 kJ per mole of atoms
data_ZnP2Br
_cell_length_a 3.062
_cell_length_b 4.675
_cell_length_c 4.707
_cell_angle_alpha 90.00
_cell_angle_beta 90.00
_cell_angle_gamma 90.00
_symmetry_space_group_name_H-M 'P 1'
_symmetry_Int_Tables_number 1
loop_
_symmetry_equiv_pos_as_xyz
'x,y,z'
loop_
_atom_site_label
_atom_site_type_symbol
_atom_site_fract_x
_atom_site_fract_y
_atom_site_fract_z
Zn1 Zn 0.000 0.000 0.000
P1 P 0.000 0.500 0.500
P2 P 0.500 0.000 0.500
Br1 Br 0.500 0.500 0.000

2.
# ZnP2Br, PBEsol geometry, DFT SCAN
# theoretical density = 4.56 g/cm3
# excess energy over the best structure of this formula in the dataset = 0 meV per atom
# symmetry = No. 166
# V = 75.5 Å³ per cell
# DOS at the Fermi energy = 0.604 states/eV per atom
# total magnetic moment = 0.000 μB/cell
# total energy = -51.38 eV per formula unit
# raw formation energy = 57.7 kJ per mole of atoms
data_ZnP2Br
_cell_length_a 11.007
_cell_length_b 11.007
_cell_length_c 11.007
_cell_angle_alpha 14.78
_cell_angle_beta 14.78
_cell_angle_gamma 14.78
_symmetry_space_group_name_H-M 'P 1'
_symmetry_Int_Tables_number 1
loop_
_symmetry_equiv_pos_as_xyz
'x,y,z'
loop_
_atom_site_label
_atom_site_type_symbol
_atom_site_fract_x
_atom_site_fract_y
_atom_site_fract_z
Zn1 Zn 0.000 0.000 0.000
P1 P 0.272 0.272 0.272
P2 P 0.728 0.728 0.728
Br1 Br 0.500 0.500 0.500

- The highest theoretical density belongs to which entry?
  number 1